# Y4AgS2 PBE optimized geometry
# * formation energy (no corrections): -121 kJ/mol of atoms
# * DOS at the Fermi energy: 0.544 states/eV per atom
# * magnetic moment: 0.0 μB/cell
# * SG: Cmcm
# * electronic total energy: -0.4805 Ry/atom
data_Y4AgS2
_chemical_formula_sum 'Y8 Ag2 S4'
_cell_length_a 6.716
_cell_length_b 6.716
_cell_length_c 13.685
_cell_angle_alpha 90.00
_cell_angle_beta 90.00
_cell_angle_gamma 146.07
_symmetry_space_group_name_H-M 'P 1'
_symmetry_Int_Tables_number 1
loop_
_symmetry_equiv_pos_as_xyz
'x,y,z'
loop_
_atom_site_label
_atom_site_type_symbol
_atom_site_fract_x
_atom_site_fract_y
_atom_site_fract_z
Y1 Y 0.000 0.000 0.000
Y2 Y 0.000 0.000 0.500
Y3 Y 0.273 0.727 0.618
Y4 Y 0.273 0.727 0.882
Y5 Y 0.438 0.562 0.250
Y6 Y 0.562 0.438 0.750
Y7 Y 0.727 0.273 0.118
Y8 Y 0.727 0.273 0.382
Ag1 Ag 0.112 0.888 0.250
Ag2 Ag 0.888 0.112 0.750
S1 S 0.364 0.636 0.061
S2 S 0.364 0.636 0.439
S3 S 0.636 0.364 0.561
S4 S 0.636 0.364 0.939